Density functional theory data (PBE) for a geometry-optimized Fe2Sb2Te structure.

a = 6.4775 Å, b = 6.4775 Å, c = 6.4775 Å
α = 140.95°, β = 140.95°, γ = 56.41°
Element x y z (fractional)
Fe  0.1056  0.1056  0.0000
Fe  0.8944  0.8944  0.0000
Sb  0.2500  0.7500  0.5000
Sb  0.7500  0.2500  0.5000
Te  0.5000  0.5000  0.0000

## Properties
* ΔE_f (raw): 0.44 eV/atom